Compound: BeSb7
Source: the Alexandria database
Functional: GGA-PBEsol
Structure: optimized geometry

Properties
- ΔE_f (raw) (eV/atom) = 0.448
- crystal system = cubic
- total moment (μB per cell) = 0.00

Lattice parameters (Å, degrees): 6.546 6.546 6.546 60.00 60.00 60.00
Fractional coordinates of all 8 atoms:
Be1 0.000 0.000 0.000
Sb1 0.000 0.000 0.500
Sb2 0.000 0.500 0.000
Sb3 0.000 0.500 0.500
Sb4 0.500 0.000 0.000
Sb5 0.500 0.000 0.500
Sb6 0.500 0.500 0.000
Sb7 0.500 0.500 0.500

Compound: BeSb8
Source: the Alexandria database
Functional: GGA-PBEsol
Structure: optimized geometry

Properties
- ΔE_f (raw) (eV/atom) = 0.235
- crystal system = tetragonal
- total moment (μB per cell) = 0.00

Lattice parameters (Å, degrees): 8.210 8.210 8.210 92.79 92.79 154.51
Fractional coordinates of all 9 atoms:
Be1 0.000 0.000 0.000
Sb1 0.000 0.343 0.343
Sb2 0.000 0.657 0.657
Sb3 0.343 0.000 0.343
Sb4 0.368 0.368 0.736
Sb5 0.368 0.632 0.000
Sb6 0.632 0.368 0.000
Sb7 0.632 0.632 0.264
Sb8 0.657 0.000 0.657

Compound: BeSb3
Source: the Alexandria database
Functional: GGA-PBEsol
Structure: optimized geometry

Properties
- energy relative to the lowest polymorph listed for this composition (meV per atom) = 45
- ΔE_f (raw) (eV/atom) = 0.350
- crystal system = orthorhombic
- total moment (μB per cell) = 0.00

Lattice parameters (Å, degrees): 3.627 3.723 6.895 90.00 90.00 90.00
Fractional coordinates of all 4 atoms:
Be1 0.000 0.000 0.000
Sb1 0.000 0.500 0.468
Sb2 0.500 0.000 0.716
Sb3 0.500 0.500 0.100